Entry 1:
Below is a crystal of CsInTe2 relaxed with PBEsol, with properties calculated at the SCAN level.

## Properties
ΔE_f (raw): -0.80 eV/atom
Mass density: 5.0 g/cm³
Crystal system: tetragonal

abc: 7.5941 7.5941 7.5941
angles: 74.87 68.31 111.69
Closest atoms and distances in Å follow each position.
Fractional positions:
Cs 0.0000 0.0000 0.0000  4 Te 3.76
Cs 0.5000 0.2500 0.2500  4 Te 3.76
Te 0.0878 0.4628 0.1250  2 In 2.79
Te 0.9122 0.7872 0.6250  2 In 2.79
Te 0.4122 0.6250 0.4628  2 In 2.79
Te 0.5878 0.1250 0.7872  2 In 2.79
In 0.0000 0.5000 0.5000  4 Te 2.79
In 0.5000 0.7500 0.7500  4 Te 2.79

Entry 2:
Below is a crystal of ReMoIr relaxed with PBEsol, with properties calculated at the SCAN level.

## Properties
Mass density: 18.0 g/cm³
Crystal system: orthorhombic
Calculated formation energy: -87 meV per atom

abc: 2.6880 3.9231 4.7889
angles: 114.18 106.30 90.00
Closest atoms and distances in Å follow each position.
Fractional positions:
Ir 0.0019 0.0019 0.0038  2 Ir 2.69, 5 Re 2.73-2.81, 5 Mo 2.76
Mo 0.3339 0.3339 0.6677  2 Mo 2.69, 5 Re 2.75-2.76, 5 Ir 2.76
Re 0.6642 0.6642 0.3285  2 Re 2.69, 5 Ir 2.73-2.81, 5 Mo 2.75-2.76

Entry 3:
Below is a crystal of CaZrCd relaxed with PBEsol, with properties calculated at the SCAN level.

## Properties
Mass density: 5.4 g/cm³
Crystal system: tetragonal
Calculated formation energy: 13 meV per atom

abc: 3.3039 3.3039 7.2144
angles: 103.24 103.24 90.00
Closest atoms and distances in Å follow each position.
Fractional positions:
Ca 0.9926 0.9926 0.9852  4 Cd 3.28, 4 Ca 3.30, 4 Zr 3.50
Zr 0.6837 0.6837 0.3673  4 Cd 3.02, 4 Zr 3.30
Cd 0.3238 0.3238 0.6475  4 Zr 3.02, 4 Ca 3.28, 4 Cd 3.30

Entry 4:
Below is a crystal of KTa2Ir relaxed with PBEsol, with properties calculated at the SCAN level.

## Properties
Mass density: 13.6 g/cm³
Crystal system: orthorhombic
Calculated formation energy: 1127 meV per atom

abc: 2.7540 5.4657 5.4657
angles: 118.06 90.00 90.00
Closest atoms and distances in Å follow each position.
Fractional positions:
Ir 0.5000 0.0000 0.0000  2 Ir 2.75, 2 K 2.81, 8 Ta 3.06
K 0.5000 0.5000 0.5000  2 K 2.75, 2 Ir 2.81, 8 Ta 3.06
Ta 0.0000 0.5000 0.0000  4 Ta 2.75-2.81, 4 K 3.06, 4 Ir 3.06
Ta 0.0000 0.0000 0.5000  4 Ta 2.75-2.81, 4 Ir 3.06, 4 K 3.06

Entry 5:
Below is a crystal of CdCuTe3 relaxed with PBEsol, with properties calculated at the SCAN level.

## Properties
ΔE_f (raw): 0.97 eV/atom
Mass density: 5.7 g/cm³
Crystal system: cubic

abc: 5.4760 5.4760 5.4760
angles: 90.00 90.00 90.00
Closest atoms and distances in Å follow each position.
Fractional positions:
Te 0.0000 0.5000 0.0000  2 Cd 2.74
Te 0.0000 0.0000 0.5000  2 Cd 2.74
Te 0.5000 0.0000 0.0000  2 Cd 2.74
Cu 0.5000 0.5000 0.5000  12 Te 3.87
Cd 0.0000 0.0000 0.0000  6 Te 2.74

Entry 6:
Below is a crystal of TlCr2W relaxed with PBEsol, with properties calculated at the SCAN level.

## Properties
Mass density: 13.5 g/cm³
Crystal system: tetragonal
Calculated formation energy: 615 meV per atom

abc: 3.1092 3.1092 6.2603
angles: 90.00 90.00 90.00
Closest atoms and distances in Å follow each position.
Fractional positions:
Cr 0.0000 0.0000 0.0170  4 Cr 2.46, 4 W 2.56
Cr 0.5000 0.5000 0.1927  1 W 2.41, 4 Cr 2.46
Tl 0.0000 0.0000 0.4828  5 Cr 2.85-2.92, 4 W 2.99, 4 Tl 3.11
W 0.5000 0.5000 0.8075  5 Cr 2.41-2.56